KMg2MoF8 | PBE with a Hubbard U | relaxed

Properties
Crystal system: monoclinic
E_tot in eV per atom: -5.258
N(E_F) in states/eV/cell: 0.0

Cell and atoms, written as CIF:
```
data_KMg2MoF8
_cell_length_a 5.1112
_cell_length_b 5.1112
_cell_length_c 7.1176
_cell_angle_alpha 96.67
_cell_angle_beta 96.67
_cell_angle_gamma 82.14
_symmetry_space_group_name_H-M 'P 1'
_symmetry_Int_Tables_number 1
loop_
_symmetry_equiv_pos_as_xyz
'x,y,z'
loop_
_atom_site_label
_atom_site_fract_x
_atom_site_fract_y
_atom_site_fract_z
_atom_site_occupancy
K1 0.0000 0.0000 0.0000 1
Mg1 0.4613 0.4613 0.7780 1
Mg2 0.5387 0.5387 0.2220 1
Mo1 0.0000 0.0000 0.5000 1
F1 0.2143 0.7645 0.2906 1
F2 0.2355 0.7857 0.7094 1
F3 0.2746 0.2746 0.5537 1
F4 0.3388 0.3388 0.0013 1
F5 0.6612 0.6612 0.9987 1
F6 0.7254 0.7254 0.4463 1
F7 0.7645 0.2143 0.2906 1
F8 0.7857 0.2355 0.7094 1
```